First-principles (GGA-PBE) data for a geometry-optimized Li3PrCd4 structure, as listed in the Alexandria database.

abc: 9.324 9.324 9.324
angles: 29.66 29.66 29.66
Fractional positions:
Li (0.000, 0.000, 0.000)
Li (0.261, 0.261, 0.261)
Li (0.739, 0.739, 0.739)
Pr (0.500, 0.500, 0.500)
Cd (0.103, 0.103, 0.103)
Cd (0.372, 0.372, 0.372)
Cd (0.628, 0.628, 0.628)
Cd (0.897, 0.897, 0.897)

## Properties
DFT formation energy   -0.234 eV/atom
Mass density   5.8 g/cm3
Calculated total energy   -2.006 eV per atom
DOS at the Fermi energy   5.62 states/eV/f.u.
Volume   175.7 Å³/cell